Entry 1:
Below is a relaxed TbPr2Sm4Mg crystal, with properties calculated at the GGA-PBE level.

a = 5.046 Å, b = 5.059 Å, c = 11.461 Å
α = 63.84°, β = 90.00°, γ = 90.00°
Sites, in units of the cell vectors:
Tb (0.000, 0.500, 0.500)
Pr (0.000, 0.000, 0.000)
Pr (0.500, 0.000, 0.500)
Sm (0.000, 0.749, 0.752)
Sm (0.000, 0.251, 0.248)
Sm (0.500, 0.751, 0.248)
Sm (0.500, 0.249, 0.752)
Mg (0.500, 0.500, 0.000)

Calculated values
The space group is Pmmm (47). As for the final energy: -0.1586 Ha/atom.

=====

Entry 2:
Below is a relaxed PmGa2Pd crystal, with properties calculated at the GGA-PBE level.

a = 5.636 Å, b = 6.780 Å, c = 8.331 Å
α = 90.00°, β = 90.00°, γ = 90.00°
Sites, in units of the cell vectors:
Pm (0.369, 0.250, 0.041)
Pm (0.869, 0.750, 0.459)
Pm (0.631, 0.750, 0.959)
Pm (0.131, 0.250, 0.541)
Ga (0.881, 0.054, 0.187)
Ga (0.381, 0.946, 0.313)
Ga (0.119, 0.554, 0.813)
Ga (0.619, 0.446, 0.687)
Ga (0.119, 0.946, 0.813)
Ga (0.619, 0.054, 0.687)
Ga (0.881, 0.446, 0.187)
Ga (0.381, 0.554, 0.313)
Pd (0.637, 0.250, 0.409)
Pd (0.137, 0.750, 0.091)
Pd (0.363, 0.750, 0.591)
Pd (0.863, 0.250, 0.909)

Calculated values
The space group is Pnma (62). The energy above the lowest structure with this stoichiometry comes out at 0.24 eV per formula unit.